1.
Material: ScBeCl2
Method: DFT, PBE
State: optimized geometry

a = 3.607 Å, b = 3.607 Å, c = 10.907 Å
α = 90.00°, β = 90.00°, γ = 90.00°
Space group I-4m2 (No. 119)
Inequivalent atoms, fractional coordinates:
Sc1 0.000 0.000 0.000
Be1 0.000 0.500 0.750
Cl1 0.000 0.000 0.500
Cl2 0.000 0.500 0.250

Results
Magnetization (μB/cell): 0.0
ΔE to the lowest computed polymorph (eV per formula unit): 2.29
Formation energy without anion corrections (eV/atom): -0.342



2.
Material: ScBe2Cl
Method: DFT, PBE
State: optimized geometry

a = 3.346 Å, b = 4.478 Å, c = 8.198 Å
α = 90.00°, β = 90.00°, γ = 90.00°
Space group Imm2 (No. 44)
Inequivalent atoms, fractional coordinates:
Sc1 0.000 0.000 0.000
Be1 0.000 0.000 0.461
Be2 0.000 0.500 0.761
Cl1 0.000 0.500 0.247

Results
Magnetization (μB/cell): 0.0
ΔE to the lowest computed polymorph (eV per formula unit): 1.87
Formation energy without anion corrections (eV/atom): 0.195



3.
Material: Sc2BeCl
Method: DFT, PBE
State: optimized geometry

a = 3.225 Å, b = 3.438 Å, c = 13.836 Å
α = 90.00°, β = 90.00°, γ = 90.00°
Space group Imm2 (No. 44)
Inequivalent atoms, fractional coordinates:
Sc1 0.000 0.000 0.000
Sc2 0.000 0.500 0.280
Be1 0.000 0.500 0.861
Cl1 0.000 0.000 0.608

Results
Magnetization (μB/cell): 1.1
ΔE to the lowest computed polymorph (eV per formula unit): 0.70
Formation energy without anion corrections (eV/atom): -0.403



What is the ΔE to the lowest computed polymorph in the third record? 0.70 eV per formula unit